Entry 1:
## KTi2AsO8 (PBE)

Data for a geometry-optimized KTi2AsO8 structure.

Lattice parameters (Å, degrees): 6.610 6.246 7.392 90.00 92.67 90.00
Space group C2/m (No. 12)
One atom of each set of equivalent atoms:
1 K 0.000 0.000 0.000 x2
2 Ti 0.027 0.500 0.308 x4
3 As 0.000 0.000 0.500 x2
4 O 0.018 0.199 0.683 x8
5 O 0.095 0.500 0.053 x4
6 O 0.204 0.500 0.508 x4

Summary:
VASP energy = -167.98 eV for the cell shown
energy relative to the elements, uncorrected = -1.899 eV per atom
M_tot = 0.0 μB per cell



Entry 2:
## K2TiAs2O6 (PBE)

Data for a geometry-optimized K2TiAs2O6 structure.

Lattice parameters (Å, degrees): 9.724 5.613 6.979 90.00 96.38 90.00
Space group C2/m (No. 12)
One atom of each set of equivalent atoms:
1 K 0.182 0.000 0.195 x4
2 Ti 0.000 0.500 0.000 x2
3 As 0.144 0.000 0.719 x4
4 O 0.071 0.246 0.837 x8
5 O 0.182 0.500 0.160 x4

Summary:
VASP energy = -139.67 eV for the cell shown
energy relative to the elements, uncorrected = -1.881 eV per atom
M_tot = 0.0 μB per cell



Entry 3:
## KTiAsO5 (PBE)

Data for a geometry-optimized KTiAsO5 structure.

Lattice parameters (Å, degrees): 13.350 6.678 10.917 90.00 90.00 90.00
Space group Pna2_1 (No. 33)
One atom of each set of equivalent atoms:
1 K 0.109 0.202 0.000 x4
2 K 0.125 0.779 0.743 x4
3 Ti 0.128 0.507 0.436 x4
4 Ti 0.246 0.767 0.185 x4
5 As 0.002 0.332 0.693 x4
6 As 0.180 0.009 0.444 x4
7 O 0.007 0.534 0.328 x4
8 O 0.013 0.503 0.579 x4
9 O 0.100 0.825 0.170 x4
10 O 0.105 0.210 0.414 x4
11 O 0.106 0.183 0.713 x4
12 O 0.107 0.806 0.480 x4
13 O 0.217 0.563 0.321 x4
14 O 0.219 0.452 0.571 x4
15 O 0.239 0.540 0.067 x4
16 O 0.241 0.469 0.821 x4

Summary:
VASP energy = -443.84 eV for the cell shown
energy relative to the elements, uncorrected = -2.131 eV per atom
M_tot = 0.0 μB per cell



Entry 4:
## KTlAs2O6 (PBE)

Data for a geometry-optimized KTlAs2O6 structure.

Lattice parameters (Å, degrees): 11.676 12.363 5.029 90.00 90.58 90.00
Space group C2/c (No. 15)
One atom of each set of equivalent atoms:
1 K 0.000 0.187 0.250 x4
2 Tl 0.000 0.392 0.750 x4
3 As 0.227 0.084 0.715 x8
4 O 0.130 0.401 0.259 x8
5 O 0.135 0.183 0.780 x8
6 O 0.186 0.041 0.382 x8

Summary:
VASP energy = -222.18 eV for the cell shown
energy relative to the elements, uncorrected = -1.303 eV per atom
M_tot = 0.0 μB per cell



- Which formula does entry 3 have?
  KTiAsO5



- Among the records above, which one has the lowest energy relative to the elements, uncorrected?
  KTiAsO5